1.
Below is a geometry-optimized RbTeF5 structure, with properties calculated at the PBE level. Values from VASP.

Structure (Quantum ESPRESSO input):
```
&SYSTEM
  ibrav = 0, nat = 14, ntyp = 3
/
ATOMIC_SPECIES
Te 127.60 Te.upf
F 19.00 F.upf
Rb 85.47 Rb.upf
ATOMIC_POSITIONS crystal
Te 0.0000 0.0000 0.0000
F 0.4547 0.7614 0.7839
F 0.9547 0.2386 0.8066
Rb 0.2500 0.4910 0.2590
F 0.7500 0.9371 0.3129
F 0.7543 0.7543 0.0000
Te 0.5000 0.0000 0.5000
F 0.2543 0.7543 0.5000
Rb 0.7500 0.5090 0.7410
F 0.7457 0.2457 0.5000
F 0.0453 0.7614 0.1934
F 0.2500 0.0629 0.6871
F 0.5453 0.2386 0.2161
F 0.2457 0.2457 0.0000
CELL_PARAMETERS angstrom
-3.0176 -2.9184 -5.9871
6.8607 -2.3968 0.8091
0.0071 -7.2756 0.7305
```

Properties
space group	Imma, No. 74
formation energy (no corrections)	-2.33	eV per atom
energy above the most stable polymorph in this dataset	104	meV per atom

=====

2.
Below is a geometry-optimized MgAg2SnTe4 structure, with properties calculated at the PBE level. Values from VASP.

Structure (Quantum ESPRESSO input):
```
&SYSTEM
  ibrav = 0, nat = 8, ntyp = 4
/
ATOMIC_SPECIES
Te 127.60 Te.upf
Ag 107.87 Ag.upf
Mg 24.30 Mg.upf
Sn 118.71 Sn.upf
ATOMIC_POSITIONS crystal
Te 0.1127 0.1105 0.7241
Ag 0.2360 0.2358 0.4718
Mg 0.9860 0.4859 0.9718
Te 0.6113 0.6136 0.7242
Ag 0.4859 0.9861 0.9719
Te 0.8584 0.3591 0.2194
Te 0.3611 0.8603 0.2193
Sn 0.7357 0.7357 0.4717
CELL_PARAMETERS angstrom
6.5398 0.0010 -0.0041
-0.0006 6.5402 -0.0038
-3.2662 -3.2676 6.4385
```

Properties
space group	I-4, No. 82
formation energy (no corrections)	-0.32	eV per atom

=====

3.
Below is a geometry-optimized CdCo2Ru structure, with properties calculated at the PBE level. Values from VASP.

Structure (Quantum ESPRESSO input):
```
&SYSTEM
  ibrav = 0, nat = 4, ntyp = 3
/
ATOMIC_SPECIES
Cd 112.41 Cd.upf
Co 58.93 Co.upf
Ru 101.07 Ru.upf
ATOMIC_POSITIONS crystal
Cd 0.7500 0.2500 0.5000
Co 0.4840 0.4840 0.0000
Co 0.0160 0.0160 0.0000
Ru 0.2500 0.7500 0.5000
CELL_PARAMETERS angstrom
-0.2529 -4.2808 2.6202
-0.4909 -4.1530 -2.7868
2.9186 3.9748 0.9683
```

Properties
space group	Immm, No. 71
energy of formation from the pure elements	0.444	eV/atom

=====

4.
Below is a geometry-optimized LiAlOs structure, with properties calculated at the PBE level. Values from VASP.

Structure (Quantum ESPRESSO input):
```
&SYSTEM
  ibrav = 0, nat = 3, ntyp = 3
/
ATOMIC_SPECIES
Os 190.23 Os.upf
Al 26.98 Al.upf
Li 6.94 Li.upf
ATOMIC_POSITIONS crystal
Os 0.7500 0.7500 0.7500
Al 0.0000 0.0000 0.0000
Li 0.5000 0.5000 0.5000
CELL_PARAMETERS angstrom
4.1300 0.0000 0.0000
2.0650 3.5767 0.0000
2.0650 1.1922 3.3721
```

Properties
space group	F-43m, No. 216
energy above the most stable polymorph in this dataset	682	meV per atom
energy of formation from the pure elements	0.515	eV/atom

=====

5.
Below is a geometry-optimized BaCaLa2Fe structure, with properties calculated at the PBE level. Values from VASP.

Structure (Quantum ESPRESSO input):
```
&SYSTEM
  ibrav = 0, nat = 5, ntyp = 4
/
ATOMIC_SPECIES
Ba 137.33 Ba.upf
La 138.91 La.upf
Fe 55.84 Fe.upf
Ca 40.08 Ca.upf
ATOMIC_POSITIONS crystal
Ba 0.5000 0.5000 0.5000
La 0.5000 0.0000 0.0000
Fe 0.0000 0.0000 0.0000
Ca 0.0000 0.0000 0.5000
La 0.0000 0.5000 0.0000
CELL_PARAMETERS angstrom
-4.9395 2.0378 0.4981
0.0837 -1.0817 5.2556
2.3940 5.5339 1.1008
```

Properties
space group	P4/mmm, No. 123
energy of formation from the pure elements	0.120	eV/atom

=====

no.,theoretical density (g/cm³),E_tot (eV per atom)
1,3.4,-4.255
2,5.2,-3.306
3,9.5,-5.657
4,7.5,-5.114
5,4.8,-4.328